# CaHf3Pd

An optimized crystal structure of CaHf3Pd (PBE, the Alexandria database).

Lattice parameters (Å, degrees): 5.128 5.128 5.128 90.00 90.00 90.00
Atoms (fractional coordinates):
Hf: 0.000 0.500 0.000
Pd: 0.000 0.000 0.000
Hf: 0.000 0.000 0.500
Hf: 0.500 0.000 0.000
Ca: 0.500 0.500 0.500

## Properties
- Energy above the most stable polymorph in this dataset: 0.00 eV per formula unit
- Calculated formation energy: 403 meV per atom
- Uncorrected energy: -7.008 eV per atom
- SG: No. 221
- DOS at the Fermi energy: 10.6 states/eV/cell
- Spin magnetization: 0.00 μB per cell

***

# PmNdGaAu

An optimized crystal structure of PmNdGaAu (PBE, the Alexandria database).

Lattice parameters (Å, degrees): 3.972 4.604 6.055 90.00 109.15 90.00
Atoms (fractional coordinates):
Au: 0.579 0.500 0.158
Nd: 0.858 0.500 0.717
Ga: 0.421 0.000 0.842
Pm: 0.142 0.000 0.283

## Properties
- Energy above the most stable polymorph in this dataset: 0.00 eV per formula unit
- Calculated formation energy: -665 meV per atom
- Uncorrected energy: -4.620 eV per atom
- SG: No. 38
- DOS at the Fermi energy: 3.7 states/eV/cell
- Spin magnetization: 0.00 μB per cell

***

# AcSn2Pd8

An optimized crystal structure of AcSn2Pd8 (PBE, the Alexandria database).

Lattice parameters (Å, degrees): 5.580 5.580 8.063 90.00 90.00 90.00
Atoms (fractional coordinates):
Pd: 0.756 0.244 0.773
Pd: 0.244 0.756 0.773
Sn: 0.500 0.000 0.000
Pd: 0.244 0.244 0.773
Pd: 0.244 0.756 0.227
Sn: 0.000 0.500 0.000
Ac: 0.500 0.500 0.500
Pd: 0.244 0.244 0.227
Pd: 0.756 0.756 0.773
Pd: 0.756 0.756 0.227
Pd: 0.756 0.244 0.227

## Properties
- Calculated formation energy: -223 meV per atom
- Uncorrected energy: -5.101 eV per atom
- SG: No. 123
- DOS at the Fermi energy: 5.0 states/eV/cell
- Spin magnetization: 0.00 μB per cell